Entry 1:
## Ca2SiTe (PBE-GGA)

Data for a geometry-optimized Ca2SiTe structure.

Values from the calculation:
Its raw total energy is -0.2395 Ry/atom. The calculation puts the raw formation energy at -2.69 kcal/mol of atoms. The value obtained for the energy relative to the lowest polymorph listed for this composition is 580 meV per atom.

Lattice parameters (Å, degrees): 7.502 7.502 7.502 90.00 90.00 90.00
Fractional positions:
Ca  0.000  0.000  0.000
Ca  0.000  0.500  0.500
Ca  0.250  0.250  0.250
Ca  0.250  0.750  0.750
Ca  0.500  0.000  0.500
Ca  0.500  0.500  0.000
Ca  0.750  0.250  0.750
Ca  0.750  0.750  0.250
Si  0.000  0.000  0.500
Si  0.000  0.500  0.000
Si  0.500  0.000  0.000
Si  0.500  0.500  0.500
Te  0.250  0.250  0.750
Te  0.250  0.750  0.250
Te  0.750  0.250  0.250
Te  0.750  0.750  0.750

Entry 2:
## Ca3Si5Te12 (PBE-GGA)

Data for a geometry-optimized Ca3Si5Te12 structure.

Values from the calculation:
Its raw total energy is -0.2888 Ry/atom. The calculation puts the raw formation energy at -8.95 kcal/mol of atoms.

Lattice parameters (Å, degrees): 14.855 14.855 14.855 109.47 109.47 109.47
Fractional positions:
Ca  0.125  0.250  0.375
Ca  0.125  0.375  0.750
Ca  0.250  0.375  0.125
Ca  0.250  0.875  0.625
Ca  0.375  0.125  0.250
Ca  0.375  0.750  0.125
Ca  0.625  0.250  0.875
Ca  0.625  0.875  0.750
Ca  0.750  0.125  0.375
Ca  0.750  0.625  0.875
Ca  0.875  0.625  0.250
Ca  0.875  0.750  0.625
Si  0.000  0.000  0.000
Si  0.000  0.000  0.500
Si  0.000  0.500  0.000
Si  0.000  0.500  0.500
Si  0.125  0.750  0.875
Si  0.125  0.875  0.250
Si  0.250  0.125  0.875
Si  0.250  0.625  0.375
Si  0.375  0.250  0.625
Si  0.375  0.625  0.750
Si  0.500  0.000  0.000
Si  0.500  0.000  0.500
Si  0.500  0.500  0.000
Si  0.500  0.500  0.500
Si  0.625  0.375  0.250
Si  0.625  0.750  0.375
Si  0.750  0.375  0.625
Si  0.750  0.875  0.125
Si  0.875  0.125  0.750
Si  0.875  0.250  0.125
Te  0.029  0.209  0.122
Te  0.029  0.321  0.908
Te  0.087  0.709  0.679
Te  0.087  0.878  0.408
Te  0.092  0.622  0.413
Te  0.092  0.971  0.679
Te  0.122  0.029  0.209
Te  0.122  0.592  0.913
Te  0.179  0.209  0.587
Te  0.179  0.471  0.592
Te  0.209  0.122  0.029
Te  0.209  0.587  0.179
Te  0.291  0.321  0.913
Te  0.291  0.471  0.378
Te  0.321  0.908  0.029
Te  0.321  0.913  0.291
Te  0.378  0.291  0.471
Te  0.378  0.587  0.908
Te  0.408  0.087  0.878
Te  0.408  0.821  0.529
Te  0.413  0.092  0.622
Te  0.413  0.821  0.791
Te  0.471  0.378  0.291
Te  0.471  0.592  0.179
Te  0.529  0.408  0.821
Te  0.529  0.622  0.709
Te  0.587  0.179  0.209
Te  0.587  0.908  0.378
Te  0.592  0.179  0.471
Te  0.592  0.913  0.122
Te  0.622  0.413  0.092
Te  0.622  0.709  0.529
Te  0.679  0.087  0.709
Te  0.679  0.092  0.971
Te  0.709  0.529  0.622
Te  0.709  0.679  0.087
Te  0.791  0.413  0.821
Te  0.791  0.878  0.971
Te  0.821  0.529  0.408
Te  0.821  0.791  0.413
Te  0.878  0.408  0.087
Te  0.878  0.971  0.791
Te  0.908  0.029  0.321
Te  0.908  0.378  0.587
Te  0.913  0.122  0.592
Te  0.913  0.291  0.321
Te  0.971  0.679  0.092
Te  0.971  0.791  0.878

Entry 3:
## CaSi2Te (PBE-GGA)

Data for a geometry-optimized CaSi2Te structure.

Values from the calculation:
Its raw total energy is -0.2718 Ry/atom. The calculation puts the raw formation energy at 6.90 kcal/mol of atoms. The value obtained for the energy relative to the lowest polymorph listed for this composition is 549 meV per atom.

Lattice parameters (Å, degrees): 7.191 7.191 7.191 90.00 90.00 90.00
Fractional positions:
Ca  0.000  0.000  0.000
Ca  0.000  0.500  0.500
Ca  0.500  0.000  0.500
Ca  0.500  0.500  0.000
Si  0.250  0.250  0.250
Si  0.250  0.250  0.750
Si  0.250  0.750  0.250
Si  0.250  0.750  0.750
Si  0.750  0.250  0.250
Si  0.750  0.250  0.750
Si  0.750  0.750  0.250
Si  0.750  0.750  0.750
Te  0.000  0.000  0.500
Te  0.000  0.500  0.000
Te  0.500  0.000  0.000
Te  0.500  0.500  0.500